The following is a DFT calculation (PBE-GGA) of Sm2GeS4 after structural relaxation.

a b c (Å): 7.3372 7.3372 7.3372
angles (deg): 128.67 128.67 75.53
Last column: nearest neighbours and their distance in Å.
Positions (direct):
1 Sm 0.2500 0.7500 0.5000  4 S 2.68
2 Sm 0.7500 0.2500 0.5000  4 S 2.68
3 Ge 0.0000 0.0000 0.0000  4 S 2.59
4 S 0.1154 0.6365 0.0000  1 Ge 2.59, 2 Sm 2.68
5 S 0.3635 0.3635 0.4789  1 Ge 2.59, 2 Sm 2.68
6 S 0.6365 0.1154 0.0000  1 Ge 2.59, 2 Sm 2.68
7 S 0.8846 0.8846 0.5211  1 Ge 2.59, 2 Sm 2.68

Values from the calculation:
As for the raw total energy: -5.574 eV/atom. The volume is 33.46 A^3/atom. The density is 3.56 g cm⁻³. The calculation puts the spin magnetization at 0.00 μB/f.u.

=====

The following is a DFT calculation (PBE-GGA) of ZrSc3Hg6 after structural relaxation.

a b c (Å): 8.6790 4.9757 10.6193
angles (deg): 90.00 107.26 90.00
Last column: nearest neighbours and their distance in Å.
Positions (direct):
1 Zr 0.0565 0.2500 0.3987  8 Hg 2.96-3.15
2 Zr 0.9435 0.7500 0.6013  8 Hg 2.96-3.15
3 Sc 0.2350 0.2500 0.0116  8 Hg 2.96-3.19
4 Sc 0.3516 0.7500 0.7934  8 Hg 2.95-3.02
5 Sc 0.4659 0.2500 0.6102  8 Hg 2.92-3.11
6 Sc 0.5341 0.7500 0.3898  8 Hg 2.92-3.11
7 Sc 0.6484 0.2500 0.2066  8 Hg 2.95-3.02
8 Sc 0.7650 0.7500 0.9884  8 Hg 2.96-3.19
9 Hg 0.0687 0.7500 0.8929  4 Sc 2.95-3.09, 1 Zr 2.96, 3 Hg 3.04-3.09
10 Hg 0.1481 0.7500 0.1917  8 Hg 3.04-3.29, 4 Sc 3.36-3.39
11 Hg 0.1572 0.2500 0.6986  4 Sc 3.01-3.19, 3 Zr 3.04-3.09, 2 Hg 3.19-3.34
12 Hg 0.2517 0.7500 0.5016  4 Sc 2.96-3.11, 3 Zr 3.03-3.15, 1 Hg 3.14
13 Hg 0.3571 0.2500 0.3072  5 Sc 2.92-3.07, 1 Zr 3.04, 2 Hg 3.11
14 Hg 0.4707 0.7500 0.0902  7 Sc 2.99-3.17, 4 Hg 3.27-3.34
15 Hg 0.5293 0.2500 0.9098  7 Sc 2.99-3.17, 4 Hg 3.27-3.34
16 Hg 0.6429 0.7500 0.6928  5 Sc 2.92-3.07, 1 Zr 3.04, 2 Hg 3.11
17 Hg 0.7483 0.2500 0.4984  4 Sc 2.96-3.11, 3 Zr 3.03-3.15, 1 Hg 3.14
18 Hg 0.8428 0.7500 0.3014  4 Sc 3.01-3.19, 3 Zr 3.04-3.09, 2 Hg 3.19-3.34
19 Hg 0.8519 0.2500 0.8083  8 Hg 3.04-3.29, 4 Sc 3.36-3.39
20 Hg 0.9313 0.2500 0.1071  4 Sc 2.95-3.09, 1 Zr 2.96, 3 Hg 3.04-3.09

Values from the calculation:
As for the raw total energy: -3.208 eV/atom. The volume is 21.90 A^3/atom. The value obtained for the formation energy is -0.273 eV per atom. The density is 10.84 g cm⁻³. The calculation puts the spin magnetization at 0.00 μB/f.u.

=====

The following is a DFT calculation (PBE-GGA) of SrTcHg2 after structural relaxation.

a b c (Å): 6.2289 6.2289 6.2289
angles (deg): 44.36 44.36 44.36
Last column: nearest neighbours and their distance in Å.
Positions (direct):
1 Sr 0.0000 0.0000 0.0000  8 Hg 3.37-3.61
2 Tc 0.5000 0.5000 0.5000  6 Hg 2.83
3 Hg 0.2148 0.2148 0.2148  3 Tc 2.83, 3 Hg 3.16
4 Hg 0.7852 0.7852 0.7852  3 Tc 2.83, 3 Hg 3.16

Values from the calculation:
As for the raw total energy: -2.871 eV/atom. The volume is 26.85 A^3/atom. The value obtained for the formation energy is 0.292 eV per atom. The density is 9.07 g cm⁻³. The calculation puts the spin magnetization at 2.23 μB/f.u.